Computed, not measured: an optimized crystal structure of MnHgSe2 at the PBE level of DFT.

Cell and atoms, written as CIF:
```
data_MnHgSe2
_chemical_formula_sum 'Mn2 Hg2 Se4'
_cell_length_a 6.040
_cell_length_b 7.824
_cell_length_c 4.214
_cell_angle_alpha 90.00
_cell_angle_beta 115.38
_cell_angle_gamma 90.00
_space_group_name_H-M_alt 'C 1 2/m 1'
_space_group_IT_number 12
loop_
_space_group_symop_operation_xyz
'x,y,z'
'-x,-y,-z'
'-x,y,-z'
'x,-y,z'
'x+1/2,y+1/2,z'
'-x+1/2,-y+1/2,-z'
'-x+1/2,y+1/2,-z'
'x+1/2,-y+1/2,z'
loop_
_atom_site_label
_atom_site_type_symbol
_atom_site_fract_x
_atom_site_fract_y
_atom_site_fract_z
_atom_site_occupancy
Mn1 Mn 0.000 0.000 0.000 1
Hg1 Hg 0.000 0.500 0.000 1
Se1 Se 0.250 0.250 0.500 1
```

Output
raw total energy	-31.899	eV per cell
spin magnetization	9.2	μB per cell
energy relative to the elements, uncorrected	0.12	eV per atom


Computed, not measured: an optimized crystal structure of MnHgSe2 at the PBE level of DFT.

Cell and atoms, written as CIF:
```
data_MnHgSe2
_chemical_formula_sum 'Mn4 Hg4 Se8'
_cell_length_a 6.614
_cell_length_b 8.873
_cell_length_c 6.542
_cell_angle_alpha 90.00
_cell_angle_beta 90.00
_cell_angle_gamma 90.00
_space_group_name_H-M_alt 'P n a 21'
_space_group_IT_number 33
loop_
_space_group_symop_operation_xyz
'x,y,z'
'-x,-y,z+1/2'
'-x+1/2,y+1/2,z+1/2'
'x+1/2,-y+1/2,z'
loop_
_atom_site_label
_atom_site_type_symbol
_atom_site_fract_x
_atom_site_fract_y
_atom_site_fract_z
_atom_site_occupancy
Mn1 Mn 0.008 0.104 0.000 1
Hg1 Hg 0.099 0.458 0.487 1
Se1 Se 0.014 0.126 0.658 1
Se2 Se 0.190 0.311 0.091 1
```

Output
raw total energy	-65.840	eV per cell
spin magnetization	0.0	μB per cell
energy relative to the elements, uncorrected	0.00	eV per atom


Computed, not measured: an optimized crystal structure of MnHgSe2 at the PBE level of DFT.

Cell and atoms, written as CIF:
```
data_MnHgSe2
_chemical_formula_sum 'Mn1 Hg1 Se2'
_cell_length_a 5.153
_cell_length_b 3.489
_cell_length_c 5.794
_cell_angle_alpha 90.00
_cell_angle_beta 109.45
_cell_angle_gamma 90.00
_space_group_name_H-M_alt 'P 1 2/m 1'
_space_group_IT_number 10
loop_
_space_group_symop_operation_xyz
'x,y,z'
'-x,-y,-z'
'-x,y,-z'
'x,-y,z'
loop_
_atom_site_label
_atom_site_type_symbol
_atom_site_fract_x
_atom_site_fract_y
_atom_site_fract_z
_atom_site_occupancy
Mn1 Mn 0.000 0.000 0.000 1
Hg1 Hg 0.000 0.000 0.500 1
Se1 Se 0.345 0.500 0.151 1
```

Output
raw total energy	-17.110	eV per cell
spin magnetization	3.1	μB per cell
energy relative to the elements, uncorrected	-0.17	eV per atom


Computed, not measured: an optimized crystal structure of MnHgSe2 at the PBE level of DFT.

Cell and atoms, written as CIF:
```
data_MnHgSe2
_chemical_formula_sum 'Mn4 Hg4 Se8'
_cell_length_a 3.954
_cell_length_b 22.105
_cell_length_c 4.759
_cell_angle_alpha 90.00
_cell_angle_beta 90.00
_cell_angle_gamma 90.00
_space_group_name_H-M_alt 'C m c m'
_space_group_IT_number 63
_space_group_name_Hall '-C 2c 2'
loop_
_atom_site_label
_atom_site_type_symbol
_atom_site_fract_x
_atom_site_fract_y
_atom_site_fract_z
_atom_site_occupancy
Mn1 Mn 0.000 0.065 0.250 1
Hg1 Hg 0.000 0.318 0.250 1
Se1 Se 0.000 0.048 0.750 1
Se2 Se 0.000 0.176 0.250 1
```

Output
raw total energy	-66.289	eV per cell
spin magnetization	16.6	μB per cell
energy relative to the elements, uncorrected	-0.03	eV per atom


Computed, not measured: an optimized crystal structure of MnHgSe2 at the PBE level of DFT.

Cell and atoms, written as CIF:
```
data_MnHgSe2
_chemical_formula_sum 'Mn1 Hg1 Se2'
_cell_length_a 3.4835
_cell_length_b 3.4835
_cell_length_c 9.5793
_cell_angle_alpha 90.00
_cell_angle_beta 90.00
_cell_angle_gamma 120.00
_space_group_name_H-M_alt 'P 3 m 1'
_space_group_IT_number 156
loop_
_space_group_symop_operation_xyz
'x,y,z'
'-y,x-y,z'
'-x+y,-x,z'
'-y,-x,z'
'-x+y,y,z'
'x,x-y,z'
loop_
_atom_site_label
_atom_site_type_symbol
_atom_site_fract_x
_atom_site_fract_y
_atom_site_fract_z
_atom_site_occupancy
Mn1 Mn 0.0000 0.0000 0.0000 1
Hg1 Hg 0.3333 0.6667 0.4833 1
Se1 Se 0.3333 0.6667 0.8497 1
Se2 Se 0.6667 0.3333 0.1502 1
```

Output
raw total energy	-17.838	eV per cell
spin magnetization	2.9	μB per cell
energy relative to the elements, uncorrected	-0.35	eV per atom


Computed, not measured: an optimized crystal structure of MnHgSe2 at the PBE level of DFT.

Cell and atoms, written as CIF:
```
data_MnHgSe2
_chemical_formula_sum 'Mn4 Hg4 Se8'
_cell_length_a 13.727
_cell_length_b 3.835
_cell_length_c 8.507
_cell_angle_alpha 90.00
_cell_angle_beta 121.12
_cell_angle_gamma 90.00
_space_group_name_H-M_alt 'C 1 2/m 1'
_space_group_IT_number 12
loop_
_space_group_symop_operation_xyz
'x,y,z'
'-x,-y,-z'
'-x,y,-z'
'x,-y,z'
'x+1/2,y+1/2,z'
'-x+1/2,-y+1/2,-z'
'-x+1/2,y+1/2,-z'
'x+1/2,-y+1/2,z'
loop_
_atom_site_label
_atom_site_type_symbol
_atom_site_fract_x
_atom_site_fract_y
_atom_site_fract_z
_atom_site_occupancy
Mn1 Mn 0.189 0.000 0.305 1
Hg1 Hg 0.015 0.500 0.193 1
Se1 Se 0.152 0.000 0.995 1
Se2 Se 0.175 0.000 0.583 1
```

Output
raw total energy	-68.446	eV per cell
spin magnetization	12.7	μB per cell
energy relative to the elements, uncorrected	-0.17	eV per atom


Computed, not measured: an optimized crystal structure of Mn2HgSe at the PBE level of DFT.

Cell and atoms, written as CIF:
```
data_Mn2HgSe
_chemical_formula_sum 'Mn8 Hg4 Se4'
_cell_length_a 6.729
_cell_length_b 6.729
_cell_length_c 6.729
_cell_angle_alpha 90.00
_cell_angle_beta 90.00
_cell_angle_gamma 90.00
_space_group_name_H-M_alt 'F -4 3 m'
_space_group_IT_number 216
_space_group_name_Hall 'F -4 2 3'
loop_
_atom_site_label
_atom_site_type_symbol
_atom_site_fract_x
_atom_site_fract_y
_atom_site_fract_z
_atom_site_occupancy
Mn1 Mn 0.000 0.000 0.000 1
Mn2 Mn 0.250 0.250 0.250 1
Hg1 Hg 0.250 0.250 0.750 1
Se1 Se 0.000 0.000 0.500 1
```

Output
raw total energy	-79.233	eV per cell
spin magnetization	32.0	μB per cell
energy relative to the elements, uncorrected	0.58	eV per atom


Computed, not measured: an optimized crystal structure of MnHgSe2 at the PBE level of DFT.

Cell and atoms, written as CIF:
```
data_MnHgSe2
_chemical_formula_sum 'Mn2 Hg2 Se4'
_cell_length_a 6.412
_cell_length_b 6.412
_cell_length_c 7.247
_cell_angle_alpha 65.59
_cell_angle_beta 65.14
_cell_angle_gamma 60.39
_space_group_name_H-M_alt 'P 1'
_space_group_IT_number 1
loop_
_space_group_symop_operation_xyz
'x,y,z'
loop_
_atom_site_label
_atom_site_type_symbol
_atom_site_fract_x
_atom_site_fract_y
_atom_site_fract_z
_atom_site_occupancy
Mn1 Mn 0.000 0.000 0.000 1
Mn2 Mn 0.498 0.501 0.000 1
Hg1 Hg 0.133 0.633 0.685 1
Hg2 Hg 0.368 0.868 0.314 1
Se1 Se 0.059 0.562 0.106 1
Se2 Se 0.440 0.939 0.893 1
Se3 Se 0.626 0.132 0.279 1
Se4 Se 0.872 0.369 0.721 1
```

Output
raw total energy	-34.490	eV per cell
spin magnetization	8.0	μB per cell
energy relative to the elements, uncorrected	-0.20	eV per atom


> Among the records above, which one has the lowest energy relative to the elements, uncorrected?

number 5


> Among the records above, which one has the lowest spin magnetization?

number 2


> energy relative to the elements, uncorrected of number 6 (MnHgSe2)?

-0.17 eV per atom